Record 1
# GGA-PBE CsIr3C, optimized geometry
# total magnetic moment = 1.63 μB/cell
# energy above the lowest structure with this stoichiometry = 3.165 eV per atom
# energy of formation = 4.479 eV/atom
data_CsIr3C
_chemical_formula_sum 'Cs1 Ir3 C1'
_cell_length_a 4.997
_cell_length_b 4.997
_cell_length_c 4.997
_cell_angle_alpha 90.00
_cell_angle_beta 90.00
_cell_angle_gamma 90.00
_space_group_name_H-M_alt 'P 1'
_space_group_IT_number 1
loop_
_space_group_symop_operation_xyz
'x,y,z'
loop_
_atom_site_label
_atom_site_fract_x
_atom_site_fract_y
_atom_site_fract_z
Cs1 0.000 0.000 0.000
Ir1 0.000 0.000 0.500
Ir2 0.000 0.500 0.000
Ir3 0.500 0.000 0.000
C1 0.500 0.500 0.500

Record 2
# GGA-PBE ZnTe2Au, optimized geometry
# raw formation energy = 0.45 eV per formula unit
# total magnetic moment = 0.00 μB/cell
data_ZnTe2Au
_chemical_formula_sum 'Zn1 Te2 Au1'
_cell_length_a 5.844
_cell_length_b 5.844
_cell_length_c 5.844
_cell_angle_alpha 140.50
_cell_angle_beta 97.04
_cell_angle_gamma 96.07
_space_group_name_H-M_alt 'P 1'
_space_group_IT_number 1
loop_
_space_group_symop_operation_xyz
'x,y,z'
loop_
_atom_site_label
_atom_site_fract_x
_atom_site_fract_y
_atom_site_fract_z
Zn1 0.000 0.000 0.000
Te1 0.254 0.500 0.754
Te2 0.746 0.500 0.246
Au1 0.500 0.000 0.500

Record 3
# GGA-PBE In12Ga5Pb, optimized geometry
# total magnetic moment = 0.00 μB/cell
# energy of formation = 0.052 eV/atom
data_In12Ga5Pb
_chemical_formula_sum 'In12 Ga5 Pb1'
_cell_length_a 8.496
_cell_length_b 8.496
_cell_length_c 8.496
_cell_angle_alpha 114.42
_cell_angle_beta 111.70
_cell_angle_gamma 102.52
_space_group_name_H-M_alt 'P 1'
_space_group_IT_number 1
loop_
_space_group_symop_operation_xyz
'x,y,z'
loop_
_atom_site_label
_atom_site_fract_x
_atom_site_fract_y
_atom_site_fract_z
In1 0.033 0.810 0.223
In2 0.244 0.540 0.296
In3 0.244 0.947 0.704
In4 0.271 0.308 0.579
In5 0.271 0.692 0.963
In6 0.413 0.190 0.223
In7 0.587 0.810 0.777
In8 0.729 0.308 0.037
In9 0.729 0.692 0.421
In10 0.756 0.053 0.296
In11 0.756 0.460 0.704
In12 0.967 0.190 0.777
Ga1 0.000 0.143 0.143
Ga2 0.000 0.500 0.500
Ga3 0.000 0.857 0.857
Ga4 0.376 0.376 0.000
Ga5 0.624 0.624 0.000
Pb1 0.500 0.000 0.500

Record 4
# GGA-PBE K2CuBiF6, optimized geometry
# raw formation energy = -22.58 eV per formula unit
# total magnetic moment = 0.00 μB/cell
# energy above the lowest structure with this stoichiometry = 0.000 eV per atom
data_K2CuBiF6
_chemical_formula_sum 'K4 Cu2 Bi2 F12'
_cell_length_a 6.717
_cell_length_b 8.300
_cell_length_c 6.811
_cell_angle_alpha 90.00
_cell_angle_beta 90.00
_cell_angle_gamma 90.00
_space_group_name_H-M_alt 'P 1'
_space_group_IT_number 1
loop_
_space_group_symop_operation_xyz
'x,y,z'
loop_
_atom_site_label
_atom_site_fract_x
_atom_site_fract_y
_atom_site_fract_z
K1 0.250 0.014 0.174
K2 0.250 0.486 0.174
K3 0.750 0.514 0.826
K4 0.750 0.986 0.826
Cu1 0.250 0.750 0.738
Cu2 0.750 0.250 0.262
Bi1 0.250 0.250 0.689
Bi2 0.750 0.750 0.311
F1 0.001 0.250 0.916
F2 0.039 0.250 0.427
F3 0.250 0.517 0.772
F4 0.250 0.983 0.772
F5 0.461 0.250 0.427
F6 0.499 0.250 0.916
F7 0.501 0.750 0.084
F8 0.539 0.750 0.573
F9 0.750 0.017 0.228
F10 0.750 0.483 0.228
F11 0.961 0.750 0.573
F12 0.999 0.750 0.084

Record 5
# GGA-PBE InOsPd2Ru, optimized geometry
# total magnetic moment = 3.06 μB/cell
# energy of formation = 1.805 eV/atom
data_InOsPd2Ru
_chemical_formula_sum 'In1 Os1 Pd2 Ru1'
_cell_length_a 4.685
_cell_length_b 4.685
_cell_length_c 4.957
_cell_angle_alpha 90.00
_cell_angle_beta 90.00
_cell_angle_gamma 90.00
_space_group_name_H-M_alt 'P 1'
_space_group_IT_number 1
loop_
_space_group_symop_operation_xyz
'x,y,z'
loop_
_atom_site_label
_atom_site_fract_x
_atom_site_fract_y
_atom_site_fract_z
In1 0.000 0.000 0.000
Os1 0.500 0.500 0.000
Pd1 0.000 0.500 0.500
Pd2 0.500 0.000 0.500
Ru1 0.000 0.000 0.500

Record 6
# GGA-PBE Mg2Ga2Ag, optimized geometry
# total magnetic moment = 0.00 μB/cell
# energy above the lowest structure with this stoichiometry = 0.260 eV per atom
# energy of formation = 0.124 eV/atom
data_Mg2Ga2Ag
_chemical_formula_sum 'Mg2 Ga2 Ag1'
_cell_length_a 6.795
_cell_length_b 6.795
_cell_length_c 6.795
_cell_angle_alpha 144.56
_cell_angle_beta 144.56
_cell_angle_gamma 50.99
_space_group_name_H-M_alt 'P 1'
_space_group_IT_number 1
loop_
_space_group_symop_operation_xyz
'x,y,z'
loop_
_atom_site_label
_atom_site_fract_x
_atom_site_fract_y
_atom_site_fract_z
Mg1 0.250 0.750 0.500
Mg2 0.750 0.250 0.500
Ga1 0.098 0.098 0.000
Ga2 0.902 0.902 0.000
Ag1 0.500 0.500 0.000

Record 7
# GGA-PBE HoGaCo4, optimized geometry
# total magnetic moment = 9.02 μB/cell
# energy above the lowest structure with this stoichiometry = 0.141 eV per atom
# energy of formation = -0.052 eV/atom
data_HoGaCo4
_chemical_formula_sum 'Ho2 Ga2 Co8'
_cell_length_a 7.676
_cell_length_b 7.676
_cell_length_c 5.636
_cell_angle_alpha 90.00
_cell_angle_beta 90.00
_cell_angle_gamma 149.21
_space_group_name_H-M_alt 'P 1'
_space_group_IT_number 1
loop_
_space_group_symop_operation_xyz
'x,y,z'
loop_
_atom_site_label
_atom_site_fract_x
_atom_site_fract_y
_atom_site_fract_z
Ho1 0.123 0.877 0.750
Ho2 0.877 0.123 0.250
Ga1 0.224 0.776 0.250
Ga2 0.776 0.224 0.750
Co1 0.060 0.940 0.250
Co2 0.343 0.657 0.551
Co3 0.343 0.657 0.949
Co4 0.500 0.500 0.000
Co5 0.500 0.500 0.500
Co6 0.657 0.343 0.051
Co7 0.657 0.343 0.449
Co8 0.940 0.060 0.750

Record 8
# GGA-PBE TmTh2Ag, optimized geometry
# total magnetic moment = 0.00 μB/cell
# energy above the lowest structure with this stoichiometry = 0.318 eV per atom
# energy of formation = 0.340 eV/atom
data_TmTh2Ag
_chemical_formula_sum 'Tm1 Th2 Ag1'
_cell_length_a 12.271
_cell_length_b 12.271
_cell_length_c 12.271
_cell_angle_alpha 15.90
_cell_angle_beta 15.90
_cell_angle_gamma 15.90
_space_group_name_H-M_alt 'P 1'
_space_group_IT_number 1
loop_
_space_group_symop_operation_xyz
'x,y,z'
loop_
_atom_site_label
_atom_site_fract_x
_atom_site_fract_y
_atom_site_fract_z
Tm1 0.000 0.000 0.000
Th1 0.414 0.414 0.414
Th2 0.586 0.586 0.586
Ag1 0.500 0.500 0.500

Record 9
# GGA-PBE LiSnSbAu, optimized geometry
# raw formation energy = -0.91 eV per formula unit
# total magnetic moment = 0.00 μB/cell
# energy above the lowest structure with this stoichiometry = 0.000 eV per atom
data_LiSnSbAu
_chemical_formula_sum 'Li1 Sn1 Sb1 Au1'
_cell_length_a 4.370
_cell_length_b 4.370
_cell_length_c 5.967
_cell_angle_alpha 90.00
_cell_angle_beta 90.00
_cell_angle_gamma 120.00
_space_group_name_H-M_alt 'P 1'
_space_group_IT_number 1
loop_
_space_group_symop_operation_xyz
'x,y,z'
loop_
_atom_site_label
_atom_site_fract_x
_atom_site_fract_y
_atom_site_fract_z
Li1 0.000 0.000 0.000
Sn1 0.667 0.333 0.425
Sb1 0.333 0.667 0.712
Au1 0.333 0.667 0.177

Record 10
# GGA-PBE KPmGeSe4, optimized geometry
# raw formation energy = -7.93 eV per formula unit
# total magnetic moment = 0.00 μB/cell
data_KPmGeSe4
_chemical_formula_sum 'K2 Pm2 Ge2 Se8'
_cell_length_a 6.878
_cell_length_b 7.036
_cell_length_c 9.197
_cell_angle_alpha 90.00
_cell_angle_beta 107.38
_cell_angle_gamma 90.00
_space_group_name_H-M_alt 'P 1'
_space_group_IT_number 1
loop_
_space_group_symop_operation_xyz
'x,y,z'
loop_
_atom_site_label
_atom_site_fract_x
_atom_site_fract_y
_atom_site_fract_z
K1 0.249 0.250 0.439
K2 0.751 0.750 0.561
Pm1 0.270 0.250 0.946
Pm2 0.730 0.750 0.054
Ge1 0.277 0.750 0.177
Ge2 0.723 0.250 0.823
Se1 0.074 0.750 0.918
Se2 0.075 0.750 0.342
Se3 0.490 0.510 0.783
Se4 0.490 0.990 0.783
Se5 0.510 0.010 0.217
Se6 0.510 0.490 0.217
Se7 0.925 0.250 0.658
Se8 0.926 0.250 0.082